# AcPm3Dy2Y6 (PBE-GGA, relaxed)
# * M_tot: 0.00 μB/cell
# * formation energy: 23 meV per atom
data_AcPm3Dy2Y6
_cell_length_a 6.276
_cell_length_b 10.866
_cell_length_c 11.950
_cell_angle_alpha 90.00
_cell_angle_beta 100.04
_cell_angle_gamma 90.00
_symmetry_space_group_name_H-M 'C 1 2/m 1'
_symmetry_Int_Tables_number 12
_symmetry_space_group_name_Hall '-C 2y'
loop_
_atom_site_label
_atom_site_type_symbol
_atom_site_fract_x
_atom_site_fract_y
_atom_site_fract_z
Ac1 Ac 0.000 0.000 0.000
Pm1 Pm 0.000 0.167 0.500
Pm2 Pm 0.000 0.500 0.500
Dy1 Dy 0.000 0.333 0.000
Y1 Y 0.248 0.332 0.748
Y2 Y 0.248 0.500 0.252